This record from the Alexandria database describes a relaxed structure of NbGe2Au. The functional is PBE-GGA.

Cell lengths 6.523, 6.523, 6.523 Å; angles 90.00, 90.00, 90.00 degrees
Space group Fm-3m (No. 225)
One atom of each set of equivalent atoms:
Nb 0.000 0.000 0.000
Ge 0.250 0.250 0.250
Au 0.000 0.000 0.500

## Properties
Calculated density = 10.4 Mg/m³
Spin magnetization = 0.00 μB per formula unit
Formation energy = 172.1 meV/atom

---

This record from the Alexandria database describes a relaxed structure of TaBrF2. The functional is PBE-GGA.

Cell lengths 6.086, 6.086, 6.086 Å; angles 90.00, 90.00, 90.00 degrees
Space group Fm-3m (No. 225)
One atom of each set of equivalent atoms:
Ta 0.000 0.000 0.000
Br 0.000 0.000 0.500
F 0.250 0.250 0.250

## Properties
Raw formation energy = -55.54 kJ per mole of atoms
Calculated density = 8.8 Mg/m³
Spin magnetization = 1.91 μB per formula unit

---

This record from the Alexandria database describes a relaxed structure of K2CuAuO. The functional is PBE-GGA.

Cell lengths 6.064, 6.064, 3.570 Å; angles 90.00, 90.00, 90.00 degrees
Space group P4/mmm (No. 123)
One atom of each set of equivalent atoms:
K 0.000 0.500 0.000
Cu 0.000 0.000 0.000
Au 0.500 0.500 0.500
O 0.000 0.000 0.500

## Properties
Raw formation energy = -48.12 kJ per mole of atoms
Calculated density = 4.5 Mg/m³
Spin magnetization = 0.00 μB per formula unit

---

This record from the Alexandria database describes a relaxed structure of SrSc3Se. The functional is PBE-GGA.

Cell lengths 5.256, 5.256, 5.256 Å; angles 90.00, 90.00, 90.00 degrees
Space group Pm-3m (No. 221)
One atom of each set of equivalent atoms:
Sr 0.000 0.000 0.000
Sc 0.000 0.500 0.500
Se 0.500 0.500 0.500

## Properties
Raw formation energy = -31.00 kJ per mole of atoms
Calculated density = 3.4 Mg/m³
Spin magnetization = 2.07 μB per formula unit

---

This record from the Alexandria database describes a relaxed structure of Nd2Ni4B. The functional is PBE-GGA.

Cell lengths 3.951, 3.951, 15.160 Å; angles 90.00, 90.00, 90.00 degrees
Space group I4/mmm (No. 139)
One atom of each set of equivalent atoms:
Nd 0.000 0.000 0.159
Ni 0.000 0.000 0.373
Ni 0.000 0.500 0.000
B 0.000 0.000 0.500

## Properties
Calculated density = 7.5 Mg/m³
Spin magnetization = 0.00 μB per formula unit
Formation energy = -278.6 meV/atom

---

This record from the Alexandria database describes a relaxed structure of CsBaHg2. The functional is PBE-GGA.

Cell lengths 4.9755, 4.9755, 27.8203 Å; angles 90.00, 90.00, 120.00 degrees
Space group R-3m (No. 166, hexagonal axes)
One atom of each set of equivalent atoms:
Cs 0.0000 0.0000 0.0000
Ba 0.0000 0.0000 0.5000
Hg 0.0000 0.0000 0.2391

## Properties
Calculated density = 5.6 Mg/m³
Spin magnetization = 0.00 μB per formula unit
Formation energy = -249.2 meV/atom

---

Which value of calculated density does entry 3 give? 4.5 Mg/m³

---

Number 4 is which compound? SrSc3Se